[1]
# Ca2PAu

An optimized crystal structure of Ca2PAu (PBEsol, Alexandria via LeMat-Bulk).

Its space group is Pmmm (47). Its uncorrected energy is -0.160 Ha/atom. The density of states at the Fermi level comes out at 1.34 states/eV/cell. The calculation puts the volume at 86.7 Å³ per cell. The value obtained for the formation energy is -850 meV per atom.

CIF file:
```
data_Ca2PAu
_cell_length_a 3.335
_cell_length_b 3.671
_cell_length_c 7.083
_cell_angle_alpha 90.00
_cell_angle_beta 90.00
_cell_angle_gamma 90.00
_symmetry_space_group_name_H-M 'P 1'
_symmetry_Int_Tables_number 1
loop_
_symmetry_equiv_pos_as_xyz
'x,y,z'
loop_
_atom_site_label
_atom_site_type_symbol
_atom_site_fract_x
_atom_site_fract_y
_atom_site_fract_z
Ca1 Ca 0.000 0.000 0.230
Ca2 Ca 0.000 0.000 0.770
P1 P 0.500 0.500 0.000
Au1 Au 0.500 0.500 0.500
```

=====

[2]
# CaP3Au

An optimized crystal structure of CaP3Au (PBEsol, Alexandria via LeMat-Bulk).

Its space group is Pm-3m (221). Its uncorrected energy is -0.120 Ha/atom. The density of states at the Fermi level comes out at 3.60 states/eV/cell. The calculation puts the volume at 126.5 Å³ per cell. The value obtained for the formation energy is 1418 meV per atom.

CIF file:
```
data_CaP3Au
_cell_length_a 5.020
_cell_length_b 5.020
_cell_length_c 5.020
_cell_angle_alpha 90.00
_cell_angle_beta 90.00
_cell_angle_gamma 90.00
_symmetry_space_group_name_H-M 'P 1'
_symmetry_Int_Tables_number 1
loop_
_symmetry_equiv_pos_as_xyz
'x,y,z'
loop_
_atom_site_label
_atom_site_type_symbol
_atom_site_fract_x
_atom_site_fract_y
_atom_site_fract_z
Ca1 Ca 0.000 0.000 0.000
P1 P 0.000 0.000 0.500
P2 P 0.000 0.500 0.000
P3 P 0.500 0.000 0.000
Au1 Au 0.500 0.500 0.500
```

=====

[3]
# CaPAu2

An optimized crystal structure of CaPAu2 (PBEsol, Alexandria via LeMat-Bulk).

Its space group is R-3m (166). Its uncorrected energy is -0.159 Ha/atom. The density of states at the Fermi level comes out at 5.49 states/eV/cell. The calculation puts the volume at 245.4 Å³ per cell. The value obtained for the formation energy is -374 meV per atom.

CIF file:
```
data_CaPAu2
_cell_length_a 4.276
_cell_length_b 4.276
_cell_length_c 15.501
_cell_angle_alpha 90.00
_cell_angle_beta 90.00
_cell_angle_gamma 120.00
_symmetry_space_group_name_H-M 'P 1'
_symmetry_Int_Tables_number 1
loop_
_symmetry_equiv_pos_as_xyz
'x,y,z'
loop_
_atom_site_label
_atom_site_type_symbol
_atom_site_fract_x
_atom_site_fract_y
_atom_site_fract_z
Ca1 Ca 0.000 0.000 0.000
Ca2 Ca 0.333 0.667 0.667
Ca3 Ca 0.667 0.333 0.333
P1 P 0.000 0.000 0.500
P2 P 0.333 0.667 0.167
P3 P 0.667 0.333 0.833
Au1 Au 0.000 0.000 0.218
Au2 Au 0.000 0.000 0.782
Au3 Au 0.333 0.667 0.449
Au4 Au 0.333 0.667 0.884
Au5 Au 0.667 0.333 0.116
Au6 Au 0.667 0.333 0.551
```